First-principles (GGA-PBE) data for Co3HgOs after structural relaxation, as listed in the Alexandria database.

For the polymorph energy (0 for the lowest one), the calculation gives 0.947 eV/atom. The calculated formation energy is 2.34 eV per atom. For the total energy, the calculation gives -21.124 eV/cell.

Structure (extended XYZ):
```
5
Lattice="4.620 0.000 0.000 0.000 4.620 0.000 0.000 0.000 4.620" Properties=species:S:1:pos:R:3 pbc="T T T"
Co 0.000 0.000 2.310
Co 0.000 2.310 0.000
Co 2.310 0.000 0.000
Hg 0.000 0.000 0.000
Os 2.310 2.310 2.310
```


First-principles (GGA-PBE) data for Sr2UInS6 after structural relaxation, as listed in the Alexandria database.

As for the uncorrected formation energy: -1414 meV/atom. For the total energy, the calculation gives -56.293 eV/cell.

Structure (extended XYZ):
```
10
Lattice="3.570 2.061 5.939 -3.570 2.061 5.939 0.000 -4.123 5.939" Properties=species:S:1:pos:R:3 pbc="T T T"
Sr 0.000 0.000 0.000
Sr 0.000 0.000 8.814
U 0.000 0.000 12.743
In 0.000 0.000 3.900
S -1.425 -2.552 8.189
S -2.053 0.398 11.155
S -1.497 2.510 8.189
S 0.682 -1.977 11.155
S 2.922 0.041 8.189
S 1.371 1.579 11.155
```


First-principles (GGA-PBE) data for AlGeAu after structural relaxation, as listed in the Alexandria database.

The calculated formation energy is -0.09 eV per atom. For the total energy, the calculation gives -23.795 eV/cell.

Structure (extended XYZ):
```
6
Lattice="2.883 0.000 0.000 0.000 6.256 0.000 0.000 0.000 6.254" Properties=species:S:1:pos:R:3 pbc="T T T"
Al 0.000 0.675 0.000
Al 0.000 5.581 3.127
Ge 1.441 2.320 1.630
Ge 1.441 3.936 4.758
Au 1.441 1.365 4.116
Au 1.441 4.891 0.989
```


First-principles (GGA-PBE) data for Cs2TlHgF4 after structural relaxation, as listed in the Alexandria database.

As for the uncorrected formation energy: -1905 meV/atom. For the total energy, the calculation gives -27.099 eV/cell.

Structure (extended XYZ):
```
8
Lattice="-3.575 3.575 4.352 3.575 -3.575 4.352 3.575 3.575 -4.352" Properties=species:S:1:pos:R:3 pbc="T T T"
Cs 0.000 0.000 0.000
Cs 0.000 3.575 2.176
Tl 0.000 0.000 4.352
Hg 3.575 0.000 2.176
F 1.812 -1.516 3.180
F 2.059 1.762 1.172
F 1.762 5.090 -1.172
F 1.516 1.812 5.525
```


First-principles (GGA-PBE) data for CaNiCl2 after structural relaxation, as listed in the Alexandria database.

For the polymorph energy (0 for the lowest one), the calculation gives 0.222 eV/atom. As for the uncorrected formation energy: -960 meV/atom. For the total energy, the calculation gives -30.633 eV/cell.

Structure (extended XYZ):
```
8
Lattice="-2.527 2.527 6.930 2.527 -2.527 6.930 2.527 2.527 -6.930" Properties=species:S:1:pos:R:3 pbc="T T T"
Ca 0.000 0.000 0.000
Ca 0.000 2.527 3.465
Ni 2.527 0.000 3.465
Ni 0.000 0.000 6.930
Cl 1.264 -0.968 5.197
Cl 1.559 1.264 1.732
Cl 1.264 3.496 -1.732
Cl 0.968 1.264 8.662
```


First-principles (GGA-PBE) data for KMgV2 after structural relaxation, as listed in the Alexandria database.

The calculated formation energy is 1.36 eV per atom. For the total energy, the calculation gives -31.011 eV/cell.

Structure (extended XYZ):
```
8
Lattice="-2.157 2.157 10.979 2.157 -2.157 10.979 2.157 2.157 -10.979" Properties=species:S:1:pos:R:3 pbc="T T T"
K 0.000 0.000 0.000
K 0.000 2.157 5.490
Mg 2.157 0.000 5.490
Mg 0.000 0.000 10.979
V 1.078 1.956 -2.745
V 2.357 1.078 2.745
V 1.078 0.200 8.234
V -0.200 1.078 13.724
```